A geometry-optimized Sr3VCu2O6 structure, computed with PBE with a Hubbard U.

```
Sr3VCu2O6
1.0
5.624 0.000 0.000
-2.812 4.871 0.000
0.000 0.000 6.426
O Cu Sr V
6 2 3 1
Direct
0.159 0.841 0.324 O
0.159 0.318 0.324 O
0.841 0.682 0.676 O
0.841 0.159 0.676 O
0.318 0.159 0.676 O
0.682 0.841 0.324 O
0.333 0.667 0.160 Cu
0.667 0.333 0.840 Cu
0.000 0.000 0.000 Sr
0.333 0.667 0.636 Sr
0.667 0.333 0.364 Sr
0.000 0.000 0.500 V
```

As for the density: 5.06 Mg/m³. The total DFT energy (no corrections) comes out at -6.03 eV/atom. The total moment is 0.00 μB/atom. The space group is P-3m1, No. 164.